Compound: BaMnIr3
Source: the Alexandria database
Functional: PBE
Structure: optimized geometry

Values from the calculation:
Uncorrected energy   -6.8474 eV per atom
Polymorph energy (0 for the lowest one)   0.000 eV per atom
Total magnetization   0.00 Bohr magnetons per cell
Space group   Pm-3m, No. 221

Unit cell a=4.6661 b=4.6661 c=4.6661 alpha=90.00 beta=90.00 gamma=90.00
With the nearest neighbours (Å) after each atom.
Element x y z (fractional)
Ba (0.5000, 0.5000, 0.5000)  12 Ir 3.30
Ir (0.0000, 0.0000, 0.5000)  2 Mn 2.33
Ir (0.5000, 0.0000, 0.0000)  2 Mn 2.33
Ir (0.0000, 0.5000, 0.0000)  2 Mn 2.33
Mn (0.0000, 0.0000, 0.0000)  6 Ir 2.33

=====

Compound: Rb3YGe
Source: the Alexandria database
Functional: PBE
Structure: optimized geometry

Values from the calculation:
Uncorrected energy   -2.0350 eV per atom
Polymorph energy (0 for the lowest one)   0.000 eV per atom
Total magnetization   2.22 Bohr magnetons per cell
Space group   Pm-3m, No. 221

Unit cell a=6.8116 b=6.8116 c=6.8116 alpha=90.00 beta=90.00 gamma=90.00
With the nearest neighbours (Å) after each atom.
Element x y z (fractional)
Ge (0.0000, 0.0000, 0.0000)  6 Rb 3.41
Rb (0.0000, 0.0000, 0.5000)  2 Ge 3.41
Y (0.5000, 0.5000, 0.5000)  12 Rb 4.82
Rb (0.0000, 0.5000, 0.0000)  2 Ge 3.41
Rb (0.5000, 0.0000, 0.0000)  2 Ge 3.41